Record 1
# Y2ZnRe (PBE-GGA, relaxed)
# electronic total energy	-6.237	eV/atom
# V	280	Å³ per cell
# formation energy	164	kJ/mol of formula units
# Fermi-level density of states	15.6	states/eV/cell
data_Y2ZnRe
_chemical_formula_sum 'Y6 Zn3 Re3'
_space_group_name_H-M_alt 'R 3 m'
_space_group_IT_number 160
_space_group_name_Hall 'R 3 -2"'
_cell_length_a 3.3949
_cell_length_b 3.3949
_cell_length_c 28.0831
_cell_angle_alpha 90.00
_cell_angle_beta 90.00
_cell_angle_gamma 120.00
loop_
_atom_site_label
_atom_site_type_symbol
_atom_site_fract_x
_atom_site_fract_y
_atom_site_fract_z
Y1 Y 0.0000 0.0000 0.0000
Y2 Y 0.0000 0.0000 0.2165
Zn1 Zn 0.0000 0.0000 0.4680
Re1 Re 0.0000 0.0000 0.7396

Record 2
# Na2BeRuO4 (PBE-GGA, relaxed)
# electronic total energy	-5.879	eV/atom
# V	192	Å³ per cell
# Fermi-level density of states	2.3	states/eV/cell
data_Na2BeRuO4
_chemical_formula_sum 'Na4 Be2 Ru2 O8'
_space_group_name_H-M_alt 'I -4'
_space_group_IT_number 82
_cell_length_a 5.2772
_cell_length_b 5.2772
_cell_length_c 6.8818
_cell_angle_alpha 90.00
_cell_angle_beta 90.00
_cell_angle_gamma 90.00
loop_
_space_group_symop_operation_xyz
'x,y,z'
'y,-x,-z'
'-x,-y,z'
'-y,x,-z'
'x+1/2,y+1/2,z+1/2'
'y+1/2,-x+1/2,-z+1/2'
'-x+1/2,-y+1/2,z+1/2'
'-y+1/2,x+1/2,-z+1/2'
loop_
_atom_site_label
_atom_site_type_symbol
_atom_site_fract_x
_atom_site_fract_y
_atom_site_fract_z
Na1 Na 0.0000 0.0000 0.0000
Na2 Na 0.0000 0.5000 0.2500
Be1 Be 0.0000 0.0000 0.5000
Ru1 Ru 0.0000 0.5000 0.7500
O1 O 0.1587 0.2195 0.6232

Record 3
# Nd3SiP2Rh9 (PBE-GGA, relaxed)
# electronic total energy	-7.121	eV/atom
# V	273	Å³ per cell
# Fermi-level density of states	9.3	states/eV/cell
data_Nd3SiP2Rh9
_chemical_formula_sum 'Nd3 Si1 P2 Rh9'
_space_group_name_H-M_alt 'P -3 m 1'
_space_group_IT_number 164
_space_group_name_Hall '-P 3 2"'
_cell_length_a 6.5423
_cell_length_b 6.5423
_cell_length_c 7.3769
_cell_angle_alpha 90.00
_cell_angle_beta 90.00
_cell_angle_gamma 120.00
loop_
_atom_site_label
_atom_site_type_symbol
_atom_site_fract_x
_atom_site_fract_y
_atom_site_fract_z
Nd1 Nd 0.0000 0.0000 0.0000
Nd2 Nd 0.3333 0.6667 0.6666
Si1 Si 0.0000 0.0000 0.5000
P1 P 0.3333 0.6667 0.1616
Rh1 Rh 0.0000 0.5000 0.0000
Rh2 Rh 0.1718 0.3437 0.3357

Record 4
# CsCdBiF6 (PBE-GGA, relaxed)
# electronic total energy	-4.321	eV/atom
# V	834	Å³ per cell
# Fermi-level density of states	0.0	states/eV/cell
data_CsCdBiF6
_chemical_formula_sum 'Cs4 Cd4 Bi4 F24'
_space_group_name_H-M_alt 'I m m a'
_space_group_IT_number 74
_space_group_name_Hall '-I 2b 2'
_cell_length_a 8.1646
_cell_length_b 8.5638
_cell_length_c 11.9331
_cell_angle_alpha 90.00
_cell_angle_beta 90.00
_cell_angle_gamma 90.00
loop_
_atom_site_label
_atom_site_type_symbol
_atom_site_fract_x
_atom_site_fract_y
_atom_site_fract_z
Cs1 Cs 0.0000 0.2500 0.0648
Cd1 Cd 0.2500 0.2500 0.7500
Bi1 Bi 0.0000 0.0000 0.5000
F1 F 0.0000 0.2500 0.4271
F2 F 0.0000 0.2500 0.8174
F3 F 0.2092 0.0605 0.6170

Record 5
# Ag5Te3 (PBE-GGA, relaxed)
# electronic total energy	-2.898	eV/atom
# V	185	Å³ per cell
# Fermi-level density of states	3.4	states/eV/cell
# ΔE to the lowest computed polymorph	1.682	kcal/mol of atoms
data_Ag5Te3
_chemical_formula_sum 'Ag5 Te3'
_space_group_name_H-M_alt 'P 4/m m m'
_space_group_IT_number 123
_space_group_name_Hall '-P 4 2'
_cell_length_a 3.9473
_cell_length_b 3.9473
_cell_length_c 11.8681
_cell_angle_alpha 90.00
_cell_angle_beta 90.00
_cell_angle_gamma 90.00
loop_
_atom_site_label
_atom_site_type_symbol
_atom_site_fract_x
_atom_site_fract_y
_atom_site_fract_z
Ag1 Ag 0.0000 0.0000 0.0000
Ag2 Ag 0.0000 0.0000 0.2460
Ag3 Ag 0.5000 0.5000 0.3821
Te1 Te 0.0000 0.0000 0.5000
Te2 Te 0.5000 0.5000 0.1495

Copy entry 2 word for word.
# Na2BeRuO4 (PBE-GGA, relaxed)
# electronic total energy	-5.879	eV/atom
# V	192	Å³ per cell
# Fermi-level density of states	2.3	states/eV/cell
data_Na2BeRuO4
_chemical_formula_sum 'Na4 Be2 Ru2 O8'
_space_group_name_H-M_alt 'I -4'
_space_group_IT_number 82
_cell_length_a 5.2772
_cell_length_b 5.2772
_cell_length_c 6.8818
_cell_angle_alpha 90.00
_cell_angle_beta 90.00
_cell_angle_gamma 90.00
loop_
_space_group_symop_operation_xyz
'x,y,z'
'y,-x,-z'
'-x,-y,z'
'-y,x,-z'
'x+1/2,y+1/2,z+1/2'
'y+1/2,-x+1/2,-z+1/2'
'-x+1/2,-y+1/2,z+1/2'
'-y+1/2,x+1/2,-z+1/2'
loop_
_atom_site_label
_atom_site_type_symbol
_atom_site_fract_x
_atom_site_fract_y
_atom_site_fract_z
Na1 Na 0.0000 0.0000 0.0000
Na2 Na 0.0000 0.5000 0.2500
Be1 Be 0.0000 0.0000 0.5000
Ru1 Ru 0.0000 0.5000 0.7500
O1 O 0.1587 0.2195 0.6232

Q: The lowest Fermi-level density of states belongs to which entry?
A: CsCdBiF6

Q: The lowest electronic total energy belongs to which entry?
A: Nd3SiP2Rh9